1.
A plane-wave DFT calculation with GGA-PBE was carried out for a relaxed Ho12Er7Mg crystal.

The structure in POSCAR format:
```
Ho12Er7Mg
1.0
5.902 3.408 5.247
-5.902 3.408 5.247
0.000 -6.815 5.247
Ho Er Mg
12 7 1
Direct
0.003 0.883 0.363
0.117 0.637 0.997
0.238 0.356 0.750
0.250 0.762 0.644
0.356 0.750 0.238
0.363 0.003 0.883
0.637 0.997 0.117
0.644 0.250 0.762
0.750 0.238 0.356
0.762 0.644 0.250
0.883 0.363 0.003
0.997 0.117 0.637
0.000 0.000 0.000
0.104 0.428 0.349
0.349 0.104 0.428
0.428 0.349 0.104
0.572 0.651 0.896
0.651 0.896 0.572
0.896 0.572 0.651
0.500 0.500 0.500
```

***

2.
A plane-wave DFT calculation with GGA-PBE was carried out for a relaxed Ho12Er7Mg crystal.

The structure in POSCAR format:
```
Ho12Er7Mg
1.0
-5.950 5.950 5.950
5.950 -5.950 5.950
5.950 5.950 -5.950
Ho Er Mg
12 7 1
Direct
0.096 0.739 0.357
0.261 0.357 0.618
0.261 0.643 0.904
0.357 0.096 0.739
0.357 0.618 0.261
0.382 0.739 0.643
0.618 0.261 0.357
0.643 0.382 0.739
0.643 0.904 0.261
0.739 0.357 0.096
0.739 0.643 0.382
0.904 0.261 0.643
0.000 0.000 0.500
0.000 0.500 0.000
0.000 0.500 0.500
0.500 0.000 0.000
0.500 0.000 0.500
0.500 0.500 0.000
0.500 0.500 0.500
0.000 0.000 0.000
```

***

Quick one: most stable of them? 1